[1]
Here is a PBEsol-optimized structure of Ca2TiBeCd from the Alexandria database. Energies are from meta-GGA SCAN.

Cell lengths 5.596, 5.596, 5.087 Å; angles 90.00, 90.00, 90.00 degrees
Space group P4/mmm (No. 123)
One atom of each set of equivalent atoms:
Ca 0.000 0.500 0.000 (multiplicity 2)
Ti 0.000 0.000 0.000 (multiplicity 1)
Be 0.500 0.500 0.500 (multiplicity 1)
Cd 0.000 0.000 0.500 (multiplicity 1)

Output
- Raw total energy: -64.45 eV/f.u.
- Calculated density: 2.60 g/cm³

[2]
Here is a PBEsol-optimized structure of Ca2Be2Cl from the Alexandria database. Energies are from meta-GGA SCAN.

Cell lengths 5.637, 5.637, 6.748 Å; angles 90.00, 90.00, 90.00 degrees
Space group I4/mmm (No. 139)
One atom of each set of equivalent atoms:
Ca 0.000 0.500 0.250 (multiplicity 4)
Be 0.000 0.000 0.140 (multiplicity 4)
Cl 0.000 0.000 0.500 (multiplicity 2)

Output
- Raw total energy: -35.38 eV/f.u.
- Calculated density: 2.07 g/cm³
- E_form (uncorrected): 0.13 eV per atom